Record 1
{
  "formula": "CaH6Pd5",
  "functional": "PBE",
  "state": "relaxed",
  "density_g_cm3": 8.19,
  "e_tot_ev_per_atom": -4.271,
  "dos_at_fermi_per_ev_atom": 0.120,
  "magmom_total_mub_per_cell": 0.00,
  "crystal_system": "monoclinic",
  "space_group": "C2/m (12)",
  "vol_a3_per_atom": 9.77,
  "lattice_angstrom": [[2.733, -4.420, 0.000], [2.733, 4.420, 0.000], [-2.187, 0.000, 4.851]],
  "species": ["Ca", "H", "H", "H", "H", "H", "H", "Pd", "Pd", "Pd", "Pd", "Pd"],
  "frac_coords": [[0.000, 0.000, 0.000], [0.163, 0.530, 0.244], [0.235, 0.235, 0.662], [0.470, 0.837, 0.756], [0.530, 0.163, 0.244], [0.765, 0.765, 0.338], [0.837, 0.470, 0.756], [0.163, 0.837, 0.500], [0.332, 0.668, 0.000], [0.500, 0.500, 0.500], [0.668, 0.332, 0.000], [0.837, 0.163, 0.500]]
}


Record 2
{
  "formula": "CsSbTe2Pd",
  "functional": "PBE",
  "state": "relaxed",
  "density_g_cm3": 3.87,
  "e_tot_ev_per_atom": -1.743,
  "dos_at_fermi_per_ev_atom": 2.795,
  "magmom_total_mub_per_cell": 2.33,
  "crystal_system": "tetragonal",
  "space_group": "P4/mmm (123)",
  "vol_a3_per_atom": 52.91,
  "lattice_angstrom": [[6.438, 0.000, 0.000], [0.000, 6.438, 0.000], [0.000, 0.000, 6.383]],
  "species": ["Cs", "Sb", "Te", "Te", "Pd"],
  "frac_coords": [[0.000, 0.000, 0.000], [0.000, 0.000, 0.500], [0.000, 0.500, 0.000], [0.500, 0.000, 0.000], [0.500, 0.500, 0.500]]
}